# 1
# Pm3Sm6Er2Tm PBE-GGA relaxed
# D(E_F) in states/eV/cell: 30.951
# E_tot in eV per cell: -111.92
# Formation energy from the elements in eV per atom: 0.02
data_Pm3Sm6Er2Tm
_symmetry_space_group_name_H-M 'C 1 2/m 1'
_symmetry_Int_Tables_number 12
_symmetry_space_group_name_Hall '-C 2y'
_cell_length_a 6.245
_cell_length_b 10.816
_cell_length_c 11.907
_cell_angle_alpha 90.00
_cell_angle_beta 100.05
_cell_angle_gamma 90.00
loop_
_atom_site_label
_atom_site_fract_x
_atom_site_fract_y
_atom_site_fract_z
Pm1 0.000 0.000 0.000
Pm2 0.000 0.333 0.000
Sm1 0.249 0.000 0.746
Sm2 0.249 0.333 0.746
Er1 0.000 0.167 0.500
Tm1 0.000 0.500 0.500

# 2
# Pm4Sm2Er2Tm PBE-GGA relaxed
# D(E_F) in states/eV/cell: 27.928
# E_tot in eV per cell: -83.69
# Formation energy from the elements in eV per atom: 0.02
data_Pm4Sm2Er2Tm
_symmetry_space_group_name_H-M 'C 1 2/m 1'
_symmetry_Int_Tables_number 12
_symmetry_space_group_name_Hall '-C 2y'
_cell_length_a 15.285
_cell_length_b 5.091
_cell_length_c 8.016
_cell_angle_alpha 90.00
_cell_angle_beta 108.56
_cell_angle_gamma 90.00
loop_
_atom_site_label
_atom_site_fract_x
_atom_site_fract_y
_atom_site_fract_z
Pm1 0.055 0.000 0.330
Pm2 0.222 0.500 0.331
Sm1 0.112 0.500 0.670
Er1 0.167 0.000 0.000
Tm1 0.000 0.500 0.000

# 3
# PmSm2Er6Tm PBE-GGA relaxed
# D(E_F) in states/eV/cell: 54.078
# E_tot in eV per cell: -179.44
# Formation energy from the elements in eV per atom: 0.12
data_PmSm2Er6Tm
_symmetry_space_group_name_H-M 'C 1 2/c 1'
_symmetry_Int_Tables_number 15
_symmetry_space_group_name_Hall '-C 2yc'
_cell_length_a 8.992
_cell_length_b 14.963
_cell_length_c 9.574
_cell_angle_alpha 90.00
_cell_angle_beta 98.22
_cell_angle_gamma 90.00
loop_
_atom_site_label
_atom_site_fract_x
_atom_site_fract_y
_atom_site_fract_z
Pm1 0.000 0.020 0.250
Sm1 0.248 0.052 0.544
Er1 0.066 0.190 0.942
Er2 0.100 0.393 0.118
Er3 0.205 0.224 0.315
Tm1 0.000 0.408 0.750

# 4
# Pm6SmEr2Tm PBE-GGA relaxed
# D(E_F) in states/eV/cell: 56.773
# E_tot in eV per cell: -182.62
# Formation energy from the elements in eV per atom: 0.12
data_Pm6SmEr2Tm
_symmetry_space_group_name_H-M 'C 1 2/c 1'
_symmetry_Int_Tables_number 15
_symmetry_space_group_name_Hall '-C 2yc'
_cell_length_a 9.253
_cell_length_b 15.219
_cell_length_c 9.570
_cell_angle_alpha 90.00
_cell_angle_beta 96.76
_cell_angle_gamma 90.00
loop_
_atom_site_label
_atom_site_fract_x
_atom_site_fract_y
_atom_site_fract_z
Pm1 0.060 0.178 0.445
Pm2 0.098 0.390 0.617
Pm3 0.215 0.223 0.813
Sm1 0.000 0.028 0.750
Er1 0.247 0.450 0.952
Tm1 0.000 0.412 0.250

# 5
# PmSm2Er2Tm PBE-GGA relaxed
# D(E_F) in states/eV/cell: 19.929
# E_tot in eV per cell: -52.34
# Formation energy from the elements in eV per atom: 0.27
data_PmSm2Er2Tm
_symmetry_space_group_name_H-M 'P n n m'
_symmetry_Int_Tables_number 58
_symmetry_space_group_name_Hall '-P 2 2n'
_cell_length_a 6.489
_cell_length_b 17.970
_cell_length_c 3.410
_cell_angle_alpha 90.00
_cell_angle_beta 90.00
_cell_angle_gamma 90.00
loop_
_atom_site_label
_atom_site_fract_x
_atom_site_fract_y
_atom_site_fract_z
Pm1 0.000 0.000 0.000
Sm1 0.220 0.189 0.000
Er1 0.217 0.355 0.500
Tm1 0.000 0.500 0.000

# 6
# Pm2SmEr2Tm2 PBE-GGA relaxed
# D(E_F) in states/eV/cell: 24.032
# E_tot in eV per cell: -63.34
# Formation energy from the elements in eV per atom: 0.09
data_Pm2SmEr2Tm2
_symmetry_space_group_name_H-M 'C 1 2/m 1'
_symmetry_Int_Tables_number 12
_symmetry_space_group_name_Hall '-C 2y'
_cell_length_a 11.658
_cell_length_b 3.506
_cell_length_c 11.775
_cell_angle_alpha 90.00
_cell_angle_beta 109.07
_cell_angle_gamma 90.00
loop_
_atom_site_label
_atom_site_fract_x
_atom_site_fract_y
_atom_site_fract_z
Pm1 0.171 0.000 0.084
Sm1 0.000 0.500 0.500
Er1 0.050 0.000 0.771
Tm1 0.225 0.500 0.363

# 7
# PmSm5ErTm2 PBE-GGA relaxed
# D(E_F) in states/eV/cell: 57.088
# E_tot in eV per cell: -161.98
# Formation energy from the elements in eV per atom: 0.15
data_PmSm5ErTm2
_symmetry_space_group_name_H-M 'C m c 21'
_symmetry_Int_Tables_number 36
_symmetry_space_group_name_Hall 'C 2c -2'
_cell_length_a 5.613
_cell_length_b 20.192
_cell_length_c 10.669
_cell_angle_alpha 90.00
_cell_angle_beta 90.00
_cell_angle_gamma 90.00
loop_
_atom_site_label
_atom_site_fract_x
_atom_site_fract_y
_atom_site_fract_z
Pm1 0.000 0.200 0.000
Sm1 0.000 0.016 0.012
Sm2 0.000 0.281 0.298
Sm3 0.000 0.299 0.695
Sm4 0.000 0.391 0.014
Sm5 0.000 0.480 0.731
Er1 0.000 0.411 0.447
Tm1 0.000 0.110 0.728
Tm2 0.000 0.115 0.305

# 8
# Pm2SmEr6Tm PBE-GGA relaxed
# D(E_F) in states/eV/cell: 53.414
# E_tot in eV per cell: -179.60
# Formation energy from the elements in eV per atom: 0.12
data_Pm2SmEr6Tm
_symmetry_space_group_name_H-M 'C 1 2/c 1'
_symmetry_Int_Tables_number 15
_symmetry_space_group_name_Hall '-C 2yc'
_cell_length_a 8.985
_cell_length_b 14.960
_cell_length_c 9.600
_cell_angle_alpha 90.00
_cell_angle_beta 98.51
_cell_angle_gamma 90.00
loop_
_atom_site_label
_atom_site_fract_x
_atom_site_fract_y
_atom_site_fract_z
Pm1 0.247 0.052 0.044
Sm1 0.000 0.019 0.750
Er1 0.066 0.191 0.442
Er2 0.100 0.393 0.619
Er3 0.204 0.224 0.814
Tm1 0.000 0.408 0.250

# 9
# PmSm2ErTm PBE-GGA relaxed
# D(E_F) in states/eV/cell: 27.934
# E_tot in eV per cell: -85.03
# Formation energy from the elements in eV per atom: 0.39
data_PmSm2ErTm
_symmetry_space_group_name_H-M 'C m c m'
_symmetry_Int_Tables_number 63
_symmetry_space_group_name_Hall '-C 2c 2'
_cell_length_a 8.416
_cell_length_b 11.507
_cell_length_c 7.238
_cell_angle_alpha 90.00
_cell_angle_beta 90.00
_cell_angle_gamma 90.00
loop_
_atom_site_label
_atom_site_fract_x
_atom_site_fract_y
_atom_site_fract_z
Pm1 0.000 0.227 0.250
Sm1 0.193 0.000 0.000
Er1 0.000 0.228 0.750
Tm1 0.000 0.496 0.250

# 10
# Pm2Sm2ErTm4 PBE-GGA relaxed
# D(E_F) in states/eV/cell: 24.883
# E_tot in eV per cell: -82.73
# Formation energy from the elements in eV per atom: 0.00
data_Pm2Sm2ErTm4
_symmetry_space_group_name_H-M 'C 1 2/m 1'
_symmetry_Int_Tables_number 12
_symmetry_space_group_name_Hall '-C 2y'
_cell_length_a 18.625
_cell_length_b 3.588
_cell_length_c 9.546
_cell_angle_alpha 90.00
_cell_angle_beta 115.82
_cell_angle_gamma 90.00
loop_
_atom_site_label
_atom_site_fract_x
_atom_site_fract_y
_atom_site_fract_z
Pm1 0.165 0.000 0.002
Sm1 0.147 0.500 0.663
Er1 0.000 0.500 0.000
Tm1 0.019 0.000 0.332
Tm2 0.185 0.500 0.336

# 11
# Pm4SmEr2Tm2 PBE-GGA relaxed
# D(E_F) in states/eV/cell: 25.249
# E_tot in eV per cell: -83.22
# Formation energy from the elements in eV per atom: 0.02
data_Pm4SmEr2Tm2
_symmetry_space_group_name_H-M 'C 1 2/m 1'
_symmetry_Int_Tables_number 12
_symmetry_space_group_name_Hall '-C 2y'
_cell_length_a 15.196
_cell_length_b 5.044
_cell_length_c 8.008
_cell_angle_alpha 90.00
_cell_angle_beta 108.27
_cell_angle_gamma 90.00
loop_
_atom_site_label
_atom_site_fract_x
_atom_site_fract_y
_atom_site_fract_z
Pm1 0.054 0.000 0.331
Pm2 0.223 0.500 0.332
Sm1 0.000 0.500 0.000
Er1 0.111 0.500 0.668
Tm1 0.168 0.000 0.000

# 12
# Pm6SmErTm2 PBE-GGA relaxed
# D(E_F) in states/eV/cell: 57.619
# E_tot in eV per cell: -182.26
# Formation energy from the elements in eV per atom: 0.12
data_Pm6SmErTm2
_symmetry_space_group_name_H-M 'C 1 2/c 1'
_symmetry_Int_Tables_number 15
_symmetry_space_group_name_Hall '-C 2yc'
_cell_length_a 9.258
_cell_length_b 15.183
_cell_length_c 9.572
_cell_angle_alpha 90.00
_cell_angle_beta 96.78
_cell_angle_gamma 90.00
loop_
_atom_site_label
_atom_site_fract_x
_atom_site_fract_y
_atom_site_fract_z
Pm1 0.061 0.178 0.445
Pm2 0.097 0.390 0.617
Pm3 0.216 0.224 0.815
Sm1 0.000 0.029 0.750
Er1 0.000 0.411 0.250
Tm1 0.248 0.451 0.952